w.
A relaxed structure of Er2MgCd3, computed with PBE.

Values from the calculation:
**Spin magnetization**: 0.00 Bohr magnetons per cell
**Symmetry**: P-3m1
**V**: 288.1 Å³/cell

Lattice parameters (Å, degrees): 5.1189 5.1189 12.6949 90.00 90.00 120.00
With the nearest neighbours (Å) after each atom.
Atoms (fractional coordinates):
1 Er 0.0000 0.0000 0.0000  8 Cd 3.15-3.23
2 Er 0.0000 0.0000 0.5000  8 Cd 3.12-3.13
3 Er 0.3333 0.6667 0.1733  8 Cd 3.11-3.28
4 Er 0.6667 0.3333 0.8267  8 Cd 3.11-3.28
5 Mg 0.3333 0.6667 0.6626  8 Cd 3.10-3.20
6 Mg 0.6667 0.3333 0.3374  8 Cd 3.10-3.20
7 Cd 0.0000 0.0000 0.2544  5 Er 3.12-3.23, 3 Mg 3.14
8 Cd 0.0000 0.0000 0.7456  5 Er 3.12-3.23, 3 Mg 3.14
9 Cd 0.3333 0.6667 0.4183  4 Mg 3.10-3.13, 4 Er 3.11-3.13
10 Cd 0.3333 0.6667 0.9147  7 Er 3.15-3.28, 1 Mg 3.20
11 Cd 0.6667 0.3333 0.0853  7 Er 3.15-3.28, 1 Mg 3.20
12 Cd 0.6667 0.3333 0.5817  4 Mg 3.10-3.13, 4 Er 3.11-3.13



x.
A relaxed structure of Er2MgCd3, computed with PBE.

Values from the calculation:
**Spin magnetization**: 0.00 Bohr magnetons per cell
**Symmetry**: Fmmm
**V**: 291.7 Å³/cell

Lattice parameters (Å, degrees): 9.9778 9.2761 6.0305 78.21 65.51 36.27
With the nearest neighbours (Å) after each atom.
Atoms (fractional coordinates):
1 Er 0.2481 0.7519 0.7519  10 Cd 3.34-3.36, 2 Mg 3.35, 2 Er 3.35-3.41
2 Er 0.2500 0.2500 0.2500  8 Cd 3.33-3.34, 4 Mg 3.34, 2 Er 3.38
3 Er 0.7500 0.7500 0.7500  8 Cd 3.33-3.34, 4 Mg 3.34, 2 Er 3.38
4 Er 0.7519 0.2481 0.2481  10 Cd 3.34-3.36, 2 Mg 3.35, 2 Er 3.35-3.41
5 Mg 0.3328 0.3328 0.6672  3 Cd 2.86
6 Mg 0.6672 0.6672 0.3328  3 Cd 2.86
7 Cd 0.1673 0.1673 0.8327  1 Mg 2.86, 2 Cd 2.90
8 Cd 0.1679 0.6638 0.3362  1 Mg 2.86, 2 Cd 2.90-2.91
9 Cd 0.3362 0.8321 0.1679  1 Mg 2.86, 2 Cd 2.90-2.91
10 Cd 0.6638 0.1679 0.8321  1 Mg 2.86, 2 Cd 2.90-2.91
11 Cd 0.8321 0.3362 0.6638  1 Mg 2.86, 2 Cd 2.90-2.91
12 Cd 0.8327 0.8327 0.1673  1 Mg 2.86, 2 Cd 2.90



Structures ranked by computed energy, the most stable listed first: w, x.